Record 1
Density functional theory data (PBE-GGA) for a geometry-optimized ScRe2Pd structure.

Results
Crystal system: cubic
E_tot in eV/atom: -9.14
SG: F-43m

abc: 4.4775 4.4775 4.4775
angles: 60.00 60.00 60.00
Fractional coordinates of all 4 atoms:
Pd 0.2500 0.2500 0.2500
Re 0.5000 0.5000 0.5000
Re 0.7500 0.7500 0.7500
Sc 0.0000 0.0000 0.0000

Record 2
Density functional theory data (PBE-GGA) for a geometry-optimized Re2Pd3Se2 structure.

Results
Crystal system: monoclinic
E_tot in eV/atom: -6.36
SG: C2/m

abc: 6.6846 6.6846 6.8805
angles: 115.07 115.07 91.66
Fractional coordinates of all 14 atoms:
Pd 0.5000 0.0000 0.0000
Pd 0.0000 0.5000 0.0000
Pd 0.1426 0.1426 0.2412
Pd 0.7779 0.2221 0.5000
Pd 0.2221 0.7779 0.5000
Pd 0.8574 0.8574 0.7588
Re 0.8163 0.8163 0.1359
Re 0.4697 0.4697 0.2975
Re 0.5303 0.5303 0.7025
Re 0.1837 0.1837 0.8641
Se 0.8347 0.5289 0.2826
Se 0.5289 0.8347 0.2826
Se 0.4711 0.1653 0.7174
Se 0.1653 0.4711 0.7174

Record 3
Density functional theory data (PBE-GGA) for a geometry-optimized Re2SiPd structure.

Results
Crystal system: cubic
E_tot in eV/atom: -8.63
SG: F-43m

abc: 4.3419 4.3419 4.3419
angles: 60.00 60.00 60.00
Fractional coordinates of all 4 atoms:
Pd 0.2500 0.2500 0.2500
Re 0.0000 0.0000 0.0000
Re 0.7500 0.7500 0.7500
Si 0.5000 0.5000 0.5000